# 1
A plane-wave DFT calculation with GGA-PBEsol was carried out for a relaxed structure of Mo2RuPb.

Cell: 5.1397 5.1397 5.1397 Å, 139.54 130.97 65.38°
With the nearest neighbours (Å) after each atom.
Atoms (fractional coordinates):
Mo 0.0000 0.0000 0.0000  2 Mo 2.68, 4 Pb 2.78, 4 Ru 2.85-2.99
Mo 0.7674 0.2674 0.5000  2 Mo 2.68, 4 Ru 2.78, 4 Pb 2.86-2.98
Ru 0.2572 0.7572 0.5000  8 Mo 2.78-2.99, 4 Pb 2.80-3.03
Pb 0.5080 0.5080 0.0000  8 Mo 2.78-2.98, 4 Ru 2.80-3.03

Values from the calculation:
- DFT total energy (eV/atom) = -8.884
- calculated volume (A^3/atom) = 16.39
- formation energy (eV per atom) = 0.54
- total moment (μB per cell) = 0.00

# 2
A plane-wave DFT calculation with GGA-PBEsol was carried out for a relaxed structure of Mo6PbS8.

Cell: 6.4763 6.4763 6.4763 Å, 88.86 88.86 88.86°
With the nearest neighbours (Å) after each atom.
Atoms (fractional coordinates):
Mo 0.2233 0.5631 0.4155  5 S 2.37-2.51
Mo 0.4155 0.2233 0.5631  5 S 2.37-2.51
Mo 0.4369 0.5845 0.7767  5 S 2.37-2.51
Mo 0.5631 0.4155 0.2233  5 S 2.37-2.51
Mo 0.5845 0.7767 0.4369  5 S 2.37-2.51
Mo 0.7767 0.4369 0.5845  5 S 2.37-2.51
Pb 0.0000 0.0000 0.0000  8 S 2.79-3.08
S 0.1253 0.3842 0.7432  4 Mo 2.42-2.51
S 0.2435 0.2435 0.2435  3 Mo 2.37
S 0.2568 0.8747 0.6158  4 Mo 2.42-2.51
S 0.3842 0.7432 0.1253  4 Mo 2.42-2.51
S 0.6158 0.2568 0.8747  4 Mo 2.42-2.51
S 0.7432 0.1253 0.3842  4 Mo 2.42-2.51
S 0.7565 0.7565 0.7565  3 Mo 2.37
S 0.8747 0.6158 0.2568  4 Mo 2.42-2.51

Values from the calculation:
- DFT total energy (eV/atom) = -8.061
- uncorrected formation energy (eV/f.u.) = -11.23
- calculated volume (A^3/atom) = 18.10
- total moment (μB per cell) = 0.00

# 3
A plane-wave DFT calculation with GGA-PBEsol was carried out for a relaxed structure of SbMo2Pb.

Cell: 4.6936 4.6936 4.6936 Å, 60.00 60.00 60.00°
With the nearest neighbours (Å) after each atom.
Atoms (fractional coordinates):
Sb 0.0000 0.0000 0.0000  8 Mo 2.87
Mo 0.2500 0.2500 0.2500  4 Pb 2.87, 4 Sb 2.87
Mo 0.7500 0.7500 0.7500  4 Pb 2.87, 4 Sb 2.87
Pb 0.5000 0.5000 0.5000  8 Mo 2.87

Values from the calculation:
- DFT total energy (eV/atom) = -7.473
- uncorrected formation energy (eV/f.u.) = 2.20
- calculated volume (A^3/atom) = 18.28
- total moment (μB per cell) = 0.01

# 4
A plane-wave DFT calculation with GGA-PBEsol was carried out for a relaxed structure of ScMoPb2.

Cell: 4.9691 4.9691 4.9691 Å, 123.20 123.20 84.54°
With the nearest neighbours (Å) after each atom.
Atoms (fractional coordinates):
Sc 0.0000 0.0000 0.0000  8 Pb 2.99, 4 Mo 3.34
Mo 0.5000 0.5000 0.0000  8 Pb 2.99, 4 Sc 3.34
Pb 0.2500 0.7500 0.5000  4 Mo 2.99, 4 Sc 2.99, 4 Pb 3.34
Pb 0.7500 0.2500 0.5000  4 Mo 2.99, 4 Sc 2.99, 4 Pb 3.34

Values from the calculation:
- DFT total energy (eV/atom) = -6.374
- calculated volume (A^3/atom) = 20.54
- formation energy (eV per atom) = 0.22
- E above lowest polymorph (meV/atom) = 0
- total moment (μB per cell) = 0.00

# 5
A plane-wave DFT calculation with GGA-PBEsol was carried out for a relaxed structure of ScMoPb2.

Cell: 5.1251 5.1251 3.4117 Å, 97.07 97.07 104.33°
With the nearest neighbours (Å) after each atom.
Atoms (fractional coordinates):
Sc 0.0000 0.0000 0.0000  4 Pb 2.90, 2 Mo 3.14
Mo 0.5000 0.5000 0.0000  4 Pb 2.90, 2 Sc 3.14
Pb 0.0000 0.5000 0.5000  2 Mo 2.90, 2 Sc 2.90, 2 Pb 3.14
Pb 0.5000 0.0000 0.5000  2 Mo 2.90, 2 Sc 2.90, 2 Pb 3.14

Values from the calculation:
- DFT total energy (eV/atom) = -6.295
- calculated volume (A^3/atom) = 21.27
- formation energy (eV per atom) = 0.30
- E above lowest polymorph (meV/atom) = 79
- total moment (μB per cell) = 0.77

# 6
A plane-wave DFT calculation with GGA-PBEsol was carried out for a relaxed structure of ScMoPb2.

Cell: 3.1780 4.7242 5.7604 Å, 90.00 95.42 90.00°
With the nearest neighbours (Å) after each atom.
Atoms (fractional coordinates):
Sc 0.0000 0.0000 0.0000  4 Pb 2.99, 2 Mo 3.16, 2 Sc 3.18
Mo 0.5000 0.0000 0.5000  4 Pb 2.85, 2 Sc 3.16, 2 Mo 3.18
Pb 0.3049 0.5000 0.7452  2 Mo 2.85, 2 Sc 2.99, 4 Pb 3.08-3.19
Pb 0.6951 0.5000 0.2548  2 Mo 2.85, 2 Sc 2.99, 4 Pb 3.08-3.19

Values from the calculation:
- DFT total energy (eV/atom) = -6.303
- calculated volume (A^3/atom) = 21.52
- formation energy (eV per atom) = 0.29
- E above lowest polymorph (meV/atom) = 71
- total moment (μB per cell) = 0.00